# 1
A relaxed structure of Nd6SbAs5, computed with GGA-PBE.

## Properties
The calculation puts the formation energy without anion corrections at -1.445 eV per atom. Its spin magnetization is 0.00 μB per formula unit. As for the symmetry: C2/m (12).

Geometry as POSCAR:
```
Nd6SbAs5
1.0
7.396 -0.548 -0.923
-1.247 6.381 -3.689
-0.336 -0.124 7.467
As Nd Sb
5 6 1
Cartesian
-0.944 4.214 0.028
3.212 0.671 5.173
2.600 5.039 -2.318
-0.640 2.044 3.750
2.906 2.855 1.427
4.488 3.128 4.035
1.636 0.350 2.648
1.324 2.582 -1.180
4.176 5.360 0.206
5.104 1.207 0.287
0.708 4.503 2.568
0.000 0.000 0.000
```

# 2
A relaxed structure of DyNiBRh2, computed with GGA-PBE.

## Properties
The calculation puts the total energy at -35.43 eV for the cell shown. Its spin magnetization is 0.00 μB per formula unit. As for the symmetry: P4/mmm (123).

Geometry as POSCAR:
```
DyNiBRh2
1.0
4.000 0.000 0.000
0.000 4.212 0.000
0.000 0.000 4.212
Rh Dy B Ni
2 1 1 1
Cartesian
0.000 2.106 0.000
0.000 0.000 2.106
2.000 2.106 2.106
0.000 0.000 0.000
2.000 0.000 0.000
```

# 3
A relaxed structure of TiTe2MoN, computed with GGA-PBE.

## Properties
The calculation puts the formation energy without anion corrections at 0.443 eV per atom. Its spin magnetization is 3.51 μB per formula unit. As for the symmetry: P4/mmm (123).

Geometry as POSCAR:
```
TiTe2MoN
1.0
-3.242 -1.868 -4.006
2.126 -5.015 0.618
-2.619 -0.803 2.494
Te Mo N Ti
2 1 1 1
Cartesian
1.063 -2.507 0.309
-1.621 -0.934 -2.003
-1.868 -3.843 -0.447
-1.310 -0.402 1.247
0.000 0.000 0.000
```

# 4
A relaxed structure of Li2BiPd, computed with GGA-PBE.

## Properties
The calculation puts the total energy at -14.40 eV for the cell shown. Its spin magnetization is 0.00 μB per formula unit. As for the symmetry: P4/mmm (123).

Geometry as POSCAR:
```
Li2BiPd
1.0
3.518 0.000 0.000
0.000 3.518 0.000
0.000 0.000 5.811
Bi Li Pd
1 2 1
Cartesian
1.759 1.759 0.000
0.000 0.000 1.647
0.000 0.000 4.164
1.759 1.759 2.906
```

no.,N(E_F) (states/eV/atom)
1,0.1459
2,0.0793
3,0.8304
4,0.3634